DFT (PBE-GGA) results for an optimized crystal structure of ZnSi2Br.

- total magnetization (μB/cell) = 0.0
- formation energy without anion corrections (eV per atom) = 0.648

Cell: 5.040 5.040 2.971 Å, 90.00 90.00 90.00°
Atoms (fractional coordinates):
Br1 0.000 0.500 0.500
Si1 0.000 0.000 0.000
Si2 0.500 0.500 0.000
Zn1 0.500 0.000 0.500